# 1
{
  "formula": "CaCo2Pd2",
  "functional": "PBE-GGA",
  "state": "optimized geometry",
  "relative_energy_kj_per_mol_fu": 0,
  "volume_a3_per_cell": 86.2,
  "energy_ev_per_atom": -5.365,
  "sg": "I4/mmm",
  "delta_e_f_ev_per_atom": -0.045,
  "lattice": [[4.1420, 0.0000, 0.0000], [0.0000, 4.1420, 0.0000], [2.0710, 2.0710, 5.0248]],
  "species": ["Ca", "Co", "Co", "Pd", "Pd"],
  "frac_coords": [[0.0000, 0.0000, 0.0000], [0.3943, 0.3943, 0.2114], [0.6057, 0.6057, 0.7886], [0.7500, 0.2500, 0.5000], [0.2500, 0.7500, 0.5000]]
}

# 2
{
  "formula": "Ca2Co2Pd",
  "functional": "PBE-GGA",
  "state": "optimized geometry",
  "relative_energy_kj_per_mol_fu": 29,
  "volume_a3_per_cell": 191.2,
  "energy_ev_per_atom": -4.675,
  "sg": "P4/mbm",
  "delta_e_f_ev_per_atom": 0.006,
  "lattice": [[6.6175, 0.0000, 0.0000], [0.0000, 6.6175, 0.0000], [0.0000, 0.0000, 4.3661]],
  "species": ["Ca", "Ca", "Ca", "Ca", "Co", "Co", "Co", "Co", "Pd", "Pd"],
  "frac_coords": [[0.1836, 0.6836, 0.5000], [0.6836, 0.8164, 0.5000], [0.8164, 0.3164, 0.5000], [0.3164, 0.1836, 0.5000], [0.3836, 0.8836, 0.0000], [0.8836, 0.6164, 0.0000], [0.6164, 0.1164, 0.0000], [0.1164, 0.3836, 0.0000], [0.0000, 0.0000, 0.0000], [0.5000, 0.5000, 0.0000]]
}

# 3
{
  "formula": "CaCoPd3",
  "functional": "PBE-GGA",
  "state": "optimized geometry",
  "relative_energy_kj_per_mol_fu": 534,
  "volume_a3_per_cell": 113.6,
  "energy_ev_per_atom": -3.747,
  "sg": "Pm-3m",
  "delta_e_f_ev_per_atom": 1.190,
  "lattice": [[4.8426, 0.0000, 0.0000], [0.0000, 4.8426, 0.0000], [0.0000, 0.0000, 4.8426]],
  "species": ["Ca", "Co", "Pd", "Pd", "Pd"],
  "frac_coords": [[0.0000, 0.0000, 0.0000], [0.5000, 0.5000, 0.5000], [0.0000, 0.5000, 0.0000], [0.0000, 0.0000, 0.5000], [0.5000, 0.0000, 0.0000]]
}

# 4
{
  "formula": "CaPmCoPd",
  "functional": "PBE-GGA",
  "state": "optimized geometry",
  "volume_a3_per_cell": 85.2,
  "energy_ev_per_atom": -4.993,
  "sg": "F-43m",
  "delta_e_f_ev_per_atom": -0.230,
  "lattice": [[4.9391, 0.0000, 0.0000], [2.4695, 4.2774, 0.0000], [2.4695, 1.4258, 4.0328]],
  "species": ["Ca", "Co", "Pd", "Pm"],
  "frac_coords": [[0.7500, 0.7500, 0.7500], [0.5000, 0.5000, 0.5000], [0.0000, 0.0000, 0.0000], [0.2500, 0.2500, 0.2500]]
}

# 5
{
  "formula": "CaSmCoPd",
  "functional": "PBE-GGA",
  "state": "optimized geometry",
  "volume_a3_per_cell": 84.3,
  "energy_ev_per_atom": -4.994,
  "sg": "F-43m",
  "delta_e_f_ev_per_atom": -0.239,
  "lattice": [[4.9225, 0.0000, 0.0000], [2.4612, 4.2630, 0.0000], [2.4612, 1.4210, 4.0192]],
  "species": ["Ca", "Co", "Pd", "Sm"],
  "frac_coords": [[0.2500, 0.2500, 0.2500], [0.5000, 0.5000, 0.5000], [0.0000, 0.0000, 0.0000], [0.7500, 0.7500, 0.7500]]
}

# 6
{
  "formula": "CaTa2CoPd",
  "functional": "PBE-GGA",
  "state": "optimized geometry",
  "volume_a3_per_cell": 123.3,
  "energy_ev_per_atom": -6.177,
  "sg": "P4/mmm",
  "delta_e_f_ev_per_atom": 1.424,
  "lattice": [[4.8565, 0.0000, 0.0000], [0.0000, 5.2291, 0.0000], [0.0000, 0.0000, 4.8565]],
  "species": ["Ca", "Co", "Pd", "Ta", "Ta"],
  "frac_coords": [[0.0000, 0.5000, 0.0000], [0.5000, 0.5000, 0.5000], [0.0000, 0.0000, 0.0000], [0.0000, 0.0000, 0.5000], [0.5000, 0.0000, 0.0000]]
}

# 7
{
  "formula": "CaCoPdW2",
  "functional": "PBE-GGA",
  "state": "optimized geometry",
  "volume_a3_per_cell": 100.4,
  "energy_ev_per_atom": -6.922,
  "sg": "P4/mmm",
  "delta_e_f_ev_per_atom": 1.119,
  "lattice": [[-3.5914, 2.0449, 1.6416], [-2.9245, -2.4405, -3.3579], [-0.5633, -3.3204, 2.9038]],
  "species": ["Ca", "Co", "Pd", "W", "W"],
  "frac_coords": [[0.0000, 0.5000, 0.0000], [0.0000, 0.0000, 0.0000], [0.5000, 0.5000, 0.5000], [0.0000, 0.0000, 0.5000], [0.5000, 0.0000, 0.0000]]
}

# 8
{
  "formula": "CaPmCo",
  "functional": "PBE-GGA",
  "state": "optimized geometry",
  "relative_energy_kj_per_mol_fu": 0,
  "volume_a3_per_cell": 170.0,
  "energy_ev_per_atom": -4.671,
  "sg": "Cmcm",
  "delta_e_f_ev_per_atom": -0.052,
  "lattice": [[3.9327, 0.0000, 0.0000], [0.0000, 3.9266, -0.6637], [0.0000, -0.1538, 11.0375]],
  "species": ["Ca", "Ca", "Pm", "Pm", "Co", "Co"],
  "frac_coords": [[0.2500, 0.3119, 0.6239], [0.7500, 0.6881, 0.3761], [0.2500, 0.0711, 0.1422], [0.7500, 0.9289, 0.8578], [0.2500, 0.4716, 0.9433], [0.7500, 0.5284, 0.0567]]
}